# 1
# LiUCrN3 PBE relaxed
data_LiUCrN3
_chemical_formula_sum 'Li2 U2 Cr2 N6'
_symmetry_space_group_name_H-M 'P 1 21/m 1'
_symmetry_Int_Tables_number 11
_symmetry_space_group_name_Hall '-P 2yb'
_cell_length_a 5.3452
_cell_length_b 3.1715
_cell_length_c 7.9524
_cell_angle_alpha 90.00
_cell_angle_beta 106.14
_cell_angle_gamma 90.00
loop_
_atom_site_label
_atom_site_type_symbol
_atom_site_fract_x
_atom_site_fract_y
_atom_site_fract_z
Li1 Li 0.1195 0.2500 0.4166
U1 U 0.4768 0.7500 0.7793
Cr1 Cr 0.0192 0.2500 0.8806
N1 N 0.1876 0.2500 0.6842
N2 N 0.2405 0.7500 0.9840
N3 N 0.3075 0.7500 0.3170
# crystal system	monoclinic

=====

# 2
# Li3U3CrN8 PBE relaxed
data_Li3U3CrN8
_chemical_formula_sum 'Li9 U9 Cr3 N24'
_symmetry_space_group_name_H-M 'R -3 m'
_symmetry_Int_Tables_number 166
_symmetry_space_group_name_Hall '-R 3 2"'
_cell_length_a 6.7264
_cell_length_b 6.7264
_cell_length_c 14.8553
_cell_angle_alpha 90.00
_cell_angle_beta 90.00
_cell_angle_gamma 120.00
loop_
_atom_site_label
_atom_site_type_symbol
_atom_site_fract_x
_atom_site_fract_y
_atom_site_fract_z
Li1 Li 0.0000 0.5000 0.0000
U1 U 0.0000 0.5000 0.5000
Cr1 Cr 0.0000 0.0000 0.5000
N1 N 0.0000 0.0000 0.2390
N2 N 0.0021 0.5010 0.2322
# crystal system	trigonal

=====

# 3
# Li2CrWN4 PBE relaxed
data_Li2CrWN4
_chemical_formula_sum 'Li2 Cr1 W1 N4'
_symmetry_space_group_name_H-M 'P 1 2/m 1'
_symmetry_Int_Tables_number 10
_symmetry_space_group_name_Hall '-P 2y'
_cell_length_a 5.0467
_cell_length_b 2.9793
_cell_length_c 5.3350
_cell_angle_alpha 90.00
_cell_angle_beta 108.44
_cell_angle_gamma 90.00
loop_
_atom_site_label
_atom_site_type_symbol
_atom_site_fract_x
_atom_site_fract_y
_atom_site_fract_z
Li1 Li 0.0000 0.0000 0.0000
Li2 Li 0.5000 0.5000 0.0000
Cr1 Cr 0.0000 0.5000 0.5000
W1 W 0.5000 0.0000 0.5000
N1 N 0.2362 0.0000 0.7144
N2 N 0.2596 0.5000 0.2758
# crystal system	monoclinic

=====

Formation energy without anion corrections? In order: -891 -888 -506 meV/atom.